AgAsCl2 GGA-PBE relaxed; energy relative to the elements, uncorrected = -0.09 eV/f.u.; raw total energy = -2.821 eV per atom; energy above the lowest structure with this stoichiometry = 266 meV per atom
1.0
3.9879 0.0000 0.0000
0.0000 5.6486 0.0000
0.0000 0.0000 8.5026
Ag As Cl
2 2 4
Cartesian
0.0000 0.0000 0.0000
1.9939 2.8243 0.0000
0.0000 2.8243 1.7698
1.9939 0.0000 1.7698
0.0000 0.0000 3.5388
0.0000 2.8243 6.9794
1.9939 0.0000 6.9794
1.9939 2.8243 3.5388